[1]
This record from Alexandria via LeMat-Bulk describes crystalline RbAl2F8 at its relaxed geometry. The functional is PBE-GGA.

Structure (POSCAR):
```
RbAl2F8
1.0
4.7033 0.0000 0.0000
0.0000 4.7033 0.0000
0.0000 0.0000 6.8914
Rb Al F
1 2 8
Direct
0.0000 0.0000 0.0000 Rb
0.0000 0.5000 0.5000 Al
0.5000 0.0000 0.5000 Al
0.2504 0.2504 0.3369 F
0.2504 0.2504 0.6631 F
0.2504 0.7496 0.3369 F
0.2504 0.7496 0.6631 F
0.7496 0.2504 0.3369 F
0.7496 0.2504 0.6631 F
0.7496 0.7496 0.3369 F
0.7496 0.7496 0.6631 F
```

## Properties
D(E_F) ... 0.401 states/eV per atom
Total DFT energy (no corrections) ... -4.8456 eV per atom
Symmetry ... P4/mmm
Volume ... 13.9 Å³/atom

***

[2]
This record from Alexandria via LeMat-Bulk describes crystalline SrZnF3 at its relaxed geometry. The functional is PBE-GGA.

Structure (POSCAR):
```
SrZnF3
1.0
4.3310 0.0000 0.0000
0.0000 4.3310 0.0000
0.0000 0.0000 4.3310
Sr Zn F
1 1 3
Direct
0.0000 0.0000 0.0000 Sr
0.5000 0.5000 0.5000 Zn
0.0000 0.5000 0.5000 F
0.5000 0.0000 0.5000 F
0.5000 0.5000 0.0000 F
```

## Properties
Distance to the lowest polymorph of the same formula ... 450 meV/atom
D(E_F) ... 0.204 states/eV per atom
Total DFT energy (no corrections) ... -4.1875 eV per atom
Symmetry ... Pm-3m
Volume ... 16.2 Å³/atom

***

[3]
This record from Alexandria via LeMat-Bulk describes crystalline MnIn2Ir at its relaxed geometry. The functional is PBE-GGA.

Structure (POSCAR):
```
MnIn2Ir
1.0
4.5595 -1.5828 0.0000
4.5595 1.5828 0.0000
-0.9018 0.0000 5.0394
Mn In Ir
1 2 1
Direct
0.0000 0.0000 0.0000 Mn
0.2441 0.2441 0.7433 In
0.7559 0.7559 0.2567 In
0.5000 0.5000 0.5000 Ir
```

## Properties
D(E_F) ... 0.453 states/eV per atom
Formation enthalpy at 0 K ... 0.147 eV/atom
Total DFT energy (no corrections) ... -5.7299 eV per atom
Symmetry ... C2/m
Volume ... 18.2 Å³/atom

***

[4]
This record from Alexandria via LeMat-Bulk describes crystalline GaAgSnPd at its relaxed geometry. The functional is PBE-GGA.

Structure (POSCAR):
```
GaAgSnPd
1.0
0.0000 3.3411 3.3411
3.3411 0.0000 3.3411
3.3411 3.3411 0.0000
Ga Ag Sn Pd
1 1 1 1
Direct
0.0000 0.0000 0.0000 Ga
0.7500 0.7500 0.7500 Ag
0.5000 0.5000 0.5000 Sn
0.2500 0.2500 0.2500 Pd
```

## Properties
D(E_F) ... 0.433 states/eV per atom
Formation enthalpy at 0 K ... -0.129 eV/atom
Total DFT energy (no corrections) ... -3.8975 eV per atom
Symmetry ... F-43m
Volume ... 18.6 Å³/atom